Entry from Alexandria: CoNi2Pd5 after structural relaxation (GGA-PBE).

Unit cell a=6.399 b=6.399 c=7.179 alpha=116.46 beta=116.46 gamma=90.00
Site moments in Bohr magnetons follow the coordinates.
Positions (direct):
Pd 0.502 0.685 0.687  0.30
Pd 0.685 0.185 0.687  0.30
Ni 0.632 0.132 0.000  0.85
Pd 0.500 0.500 0.000  0.27
Pd 0.000 0.000 0.000  0.27
Pd 0.815 0.998 0.313  0.30
Ni 0.368 0.868 0.000  0.85
Pd 0.498 0.315 0.313  0.30
Pd 0.315 0.815 0.313  0.30
Co 0.250 0.250 0.500  2.11
Pd 0.002 0.502 0.687  0.30
Ni 0.868 0.632 0.000  0.85
Co 0.750 0.750 0.500  2.11
Pd 0.185 0.002 0.687  0.30
Ni 0.132 0.368 0.000  0.85
Pd 0.998 0.498 0.313  0.30

Values from the calculation:
- magnetic moment (μB/f.u.) = 5.15
- DOS at the Fermi energy (states/eV/cell) = 20.4
- energy of formation (meV/atom) = 127



Entry from Alexandria: Co2Ni4Pd3 after structural relaxation (GGA-PBE).

Unit cell a=3.674 b=5.872 c=5.801 alpha=73.43 beta=71.60 gamma=90.02
Site moments in Bohr magnetons follow the coordinates.
Positions (direct):
Pd 0.562 0.340 0.877  0.30
Ni 0.674 0.996 0.652  0.77
Ni 0.326 0.004 0.348  0.77
Co 0.227 0.335 0.546  1.92
Co 0.773 0.665 0.454  1.92
Pd 0.000 0.000 0.000  0.28
Ni 0.877 0.326 0.246  0.77
Ni 0.123 0.674 0.754  0.77
Pd 0.438 0.660 0.123  0.30

Values from the calculation:
- magnetic moment (μB/f.u.) = 7.51
- DOS at the Fermi energy (states/eV/cell) = 10.4
- energy of formation (meV/atom) = 39



Entry from Alexandria: CoNi2Pd2 after structural relaxation (GGA-PBE).

Unit cell a=7.125 b=7.125 c=2.734 alpha=90.00 beta=90.00 gamma=90.00
Site moments in Bohr magnetons follow the coordinates.
Positions (direct):
Ni 0.161 0.661 0.500  0.69
Pd 0.862 0.638 0.000  0.24
Co 0.000 0.000 0.000  2.05
Ni 0.339 0.161 0.500  0.67
Pd 0.638 0.138 0.000  0.24
Co 0.500 0.500 0.000  2.05
Ni 0.661 0.839 0.500  0.67
Ni 0.839 0.339 0.500  0.69
Pd 0.138 0.362 0.000  0.24
Pd 0.362 0.862 0.000  0.24

Values from the calculation:
- magnetic moment (μB/f.u.) = 3.73
- DOS at the Fermi energy (states/eV/cell) = 17.3
- energy of formation (meV/atom) = 355



Entry from Alexandria: Co2NiPd5 after structural relaxation (GGA-PBE).

Unit cell a=6.398 b=6.398 c=7.205 alpha=116.36 beta=116.36 gamma=90.00
Site moments in Bohr magnetons follow the coordinates.
Positions (direct):
Pd 0.495 0.316 0.311  0.30
Ni 0.750 0.750 0.500  0.79
Co 0.629 0.129 0.000  2.03
Pd 0.816 0.995 0.311  0.30
Pd 0.684 0.184 0.689  0.30
Pd 0.000 0.000 0.000  0.33
Pd 0.005 0.505 0.689  0.30
Co 0.371 0.871 0.000  2.03
Co 0.129 0.371 0.000  2.03
Pd 0.184 0.005 0.689  0.30
Pd 0.505 0.684 0.689  0.30
Pd 0.316 0.816 0.311  0.30
Ni 0.250 0.250 0.500  0.79
Co 0.871 0.629 0.000  2.03
Pd 0.500 0.500 0.000  0.33
Pd 0.995 0.495 0.311  0.30

Values from the calculation:
- magnetic moment (μB/f.u.) = 6.32
- DOS at the Fermi energy (states/eV/cell) = 21.5
- energy of formation (meV/atom) = 146



Entry from Alexandria: CoNi3Pd6 after structural relaxation (GGA-PBE).

Unit cell a=6.603 b=6.603 c=5.509 alpha=53.18 beta=53.18 gamma=60.00
Site moments in Bohr magnetons follow the coordinates.
Positions (direct):
Pd 0.988 0.511 0.252  0.29
Pd 0.011 0.494 0.747  0.28
Ni 0.406 0.406 0.783  0.90
Pd 0.494 0.749 0.747  0.28
Pd 0.511 0.248 0.252  0.29
Ni 0.592 0.592 0.223  0.89
Co 0.909 0.909 0.274  2.10
Pd 0.248 0.988 0.252  0.29
Pd 0.749 0.011 0.747  0.28
Ni 0.092 0.092 0.724  0.94

Values from the calculation:
- magnetic moment (μB/f.u.) = 6.42
- DOS at the Fermi energy (states/eV/cell) = 13.9
- energy of formation (meV/atom) = 282



Entry from Alexandria: CoNi6Pd after structural relaxation (GGA-PBE).

Unit cell a=3.590 b=3.590 c=7.157 alpha=90.00 beta=90.00 gamma=90.00
Site moments in Bohr magnetons follow the coordinates.
Positions (direct):
Ni 0.000 0.500 0.262  0.78
Ni 0.000 0.500 0.738  0.78
Ni 0.500 0.500 0.000  0.77
Co 0.000 0.000 0.500  1.85
Pd 0.000 0.000 0.000  0.25
Ni 0.500 0.000 0.262  0.78
Ni 0.500 0.000 0.738  0.78
Ni 0.500 0.500 0.500  0.79

Values from the calculation:
- magnetic moment (μB/f.u.) = 6.50
- DOS at the Fermi energy (states/eV/cell) = 11.2
- energy of formation (meV/atom) = 19



Entry from Alexandria: Co2NiPd after structural relaxation (GGA-PBE).

Unit cell a=3.698 b=3.699 c=4.428 alpha=114.69 beta=114.68 gamma=90.00
Site moments in Bohr magnetons follow the coordinates.
Positions (direct):
Ni 0.750 0.250 0.500  0.80
Pd 0.500 0.500 0.000  0.34
Co 0.000 0.000 0.000  1.88
Co 0.250 0.750 0.500  1.89

Values from the calculation:
- magnetic moment (μB/f.u.) = 4.78
- DOS at the Fermi energy (states/eV/cell) = 4.7
- energy of formation (meV/atom) = 61



Entry from Alexandria: CoNi2Pd after structural relaxation (GGA-PBE).

Unit cell a=3.636 b=3.663 c=3.663 alpha=90.00 beta=90.00 gamma=90.00
Site moments in Bohr magnetons follow the coordinates.
Positions (direct):
Pd 0.500 0.500 0.500  0.36
Co 0.500 0.000 0.000  1.92
Ni 0.000 0.500 0.000  0.84
Ni 0.000 0.000 0.500  0.84

Values from the calculation:
- magnetic moment (μB/f.u.) = 3.83
- DOS at the Fermi energy (states/eV/cell) = 6.7
- energy of formation (meV/atom) = 59



Entry from Alexandria: CoNiPdPt after structural relaxation (GGA-PBE).

Unit cell a=3.832 b=3.832 c=4.553 alpha=114.88 beta=114.88 gamma=90.00
Site moments in Bohr magnetons follow the coordinates.
Positions (direct):
Co 0.750 0.250 0.500  2.00
Ni 0.250 0.750 0.500  0.78
Pd 0.500 0.500 0.000  0.35
Pt 0.000 0.000 0.000  0.44

Values from the calculation:
- magnetic moment (μB/f.u.) = 3.48
- DOS at the Fermi energy (states/eV/cell) = 5.9
- energy of formation (meV/atom) = -30



Entry from Alexandria: CoNiPdPt after structural relaxation (GGA-PBE).

Unit cell a=4.249 b=4.249 c=4.249 alpha=60.00 beta=60.00 gamma=60.00
Site moments in Bohr magnetons follow the coordinates.
Positions (direct):
Pd 0.250 0.250 0.250  0.23
Co 0.000 0.000 0.000  2.08
Ni 0.500 0.500 0.500  0.74
Pt 0.750 0.750 0.750  0.34

Values from the calculation:
- magnetic moment (μB/f.u.) = 3.34
- DOS at the Fermi energy (states/eV/cell) = 6.0
- energy of formation (meV/atom) = 52



Entry from Alexandria: CoNiPdRh after structural relaxation (GGA-PBE).

Unit cell a=4.220 b=4.220 c=4.220 alpha=60.00 beta=60.00 gamma=60.00
Site moments in Bohr magnetons follow the coordinates.
Positions (direct):
Rh 0.000 0.000 0.000  1.05
Pd 0.500 0.500 0.500  0.32
Ni 0.250 0.250 0.250  0.86
Co 0.750 0.750 0.750  2.12

Values from the calculation:
- magnetic moment (μB/f.u.) = 4.28
- DOS at the Fermi energy (states/eV/cell) = 4.8
- energy of formation (meV/atom) = 136



Entry from Alexandria: CoNiPdS4 after structural relaxation (GGA-PBE).

Unit cell a=6.736 b=6.809 c=6.809 alpha=60.92 beta=60.36 gamma=60.36
Positions (direct):
Pd 0.629 0.621 0.121
S 0.762 0.766 0.266
S 0.238 0.234 0.734
Pd 0.371 0.379 0.879
S 0.795 0.234 0.734
Ni 0.000 0.500 0.500
Co 0.000 0.000 0.500
S 0.237 0.228 0.297
Co 0.500 0.000 0.500
S 0.763 0.772 0.703
S 0.763 0.203 0.272
S 0.237 0.797 0.728
Ni 0.000 0.000 0.000
S 0.205 0.766 0.266

Values from the calculation:
- E_form (uncorrected) (kJ per mole of atoms) = -35.7
- magnetic moment (μB/f.u.) = 0.00
- DOS at the Fermi energy (states/eV/cell) = 7.8